Material: Rb2BiPPd
Method: DFT, PBE
State: optimized geometry

The structure belongs to space group P4/mmm (No. 123); the cell edges are 6.2154, 6.2154 and 5.1662 Å and the angles 90.00°, 90.00° and 90.00°. The asymmetric unit holds Rb at (0.0000, 0.5000, 0.0000), Bi at (0.0000, 0.0000, 0.5000), P at (0.5000, 0.5000, 0.5000) and Pd at (0.0000, 0.0000, 0.0000).

For the formation enthalpy at 0 K, the calculation gives 149.1 kJ/mol of formula units. The calculation puts the density of states at the Fermi level at 0.94 states/eV/atom.